# 1
DFT (GGA-PBE) results for a relaxed structure of GdYMgSn.

Energy of formation in eV/atom: -0.43
Calculated volume in Å³ per atom: 26.58

The structure in POSCAR format:
```
GdYMgSn
1.0
5.317 0.000 0.000
2.659 4.605 0.000
2.659 1.535 4.342
Y Mg Gd Sn
1 1 1 1
direct
0.500 0.500 0.500
0.250 0.250 0.250
0.000 0.000 0.000
0.750 0.750 0.750
```

***

# 2
DFT (GGA-PBE) results for a relaxed structure of SrGd2Mg.

Excess energy over the best structure of this formula in the dataset in kcal/mol of atoms: 0.00
Energy of formation in eV/atom: 0.06
Calculated volume in Å³ per atom: 35.06

The structure in POSCAR format:
```
SrGd2Mg
1.0
-1.707 2.236 2.656
-2.035 -3.042 1.253
6.814 -2.044 6.100
Sr Gd Mg
1 2 1
direct
0.500 0.500 0.500
0.000 0.000 0.191
0.000 0.000 0.809
0.500 0.500 0.000
```

***

# 3
DFT (GGA-PBE) results for a relaxed structure of SrGd2Mg.

Excess energy over the best structure of this formula in the dataset in kcal/mol of atoms: 4.22
Energy of formation in eV/atom: 0.24
Calculated volume in Å³ per atom: 35.26

The structure in POSCAR format:
```
SrGd2Mg
1.0
3.625 0.000 0.000
1.812 3.139 0.000
1.812 1.046 12.398
Sr Gd Mg
1 2 1
direct
0.000 0.000 0.000
0.904 0.904 0.288
0.096 0.096 0.712
0.500 0.500 0.500
```